Density functional theory data (PBE) for a relaxed TaTeAsBr2 crystal.

The total magnetization comes out at 0.0 μB per formula unit. For the total energy, the calculation gives -4.384 eV/atom. The value obtained for the energy relative to the lowest polymorph listed for this composition is 0.000 eV/atom. The value obtained for the formation energy (no corrections) is 0.21 eV per atom.

a b c (Å): 4.9752 4.9752 5.4063
angles (deg): 90.00 90.00 90.00
Space group P4/mmm (No. 123)
Unique sites:
Ta (0.0000, 0.0000, 0.0000) [1 per cell]
Te (0.5000, 0.5000, 0.5000) [1 per cell]
As (0.0000, 0.0000, 0.5000) [1 per cell]
Br (0.0000, 0.5000, 0.0000) [2 per cell]


Density functional theory data (PBE) for a relaxed TaTiAsBr2 crystal.

The total magnetization comes out at 0.1 μB per formula unit. For the total energy, the calculation gives -4.948 eV/atom. The value obtained for the energy relative to the lowest polymorph listed for this composition is 0.000 eV/atom. The value obtained for the formation energy (no corrections) is 0.60 eV per atom.

a b c (Å): 5.0710 5.0710 5.1333
angles (deg): 90.00 90.00 90.00
Space group P4/mmm (No. 123)
Unique sites:
Ta (0.0000, 0.0000, 0.0000) [1 per cell]
Ti (0.5000, 0.5000, 0.5000) [1 per cell]
As (0.0000, 0.0000, 0.5000) [1 per cell]
Br (0.0000, 0.5000, 0.0000) [2 per cell]


Which value of total magnetization does entry 2 give? 0.1 μB per formula unit